Entry 1:
# PBE-GGA Tb3YPt4, relaxed
data_Tb3YPt4
_cell_length_a 5.583
_cell_length_b 4.516
_cell_length_c 7.069
_cell_angle_alpha 90.00
_cell_angle_beta 90.02
_cell_angle_gamma 90.00
_symmetry_space_group_name_H-M 'P 1 m 1'
_symmetry_Int_Tables_number 6
_symmetry_space_group_name_Hall 'P -2y'
loop_
_atom_site_label
_atom_site_fract_x
_atom_site_fract_y
_atom_site_fract_z
_atom_site_occupancy
Tb1 0.000 0.000 0.000 1
Tb2 0.220 0.000 0.500 1
Tb3 0.720 0.500 0.364 1
Y1 0.500 0.500 0.864 1
Pt1 0.014 0.500 0.726 1
Pt2 0.205 0.500 0.227 1
Pt3 0.514 0.000 0.138 1
Pt4 0.706 0.000 0.638 1
# magnetic moment	0.004	μB/atom
# crystal system	monoclinic
# ΔH_f (0 K)	-980	kJ/mol of formula units

Entry 2:
# PBE-GGA TbZnPt, relaxed
data_TbZnPt
_cell_length_a 6.495
_cell_length_b 6.495
_cell_length_c 6.495
_cell_angle_alpha 90.00
_cell_angle_beta 90.00
_cell_angle_gamma 90.00
_symmetry_space_group_name_H-M 'F -4 3 m'
_symmetry_Int_Tables_number 216
_symmetry_space_group_name_Hall 'F -4 2 3'
loop_
_atom_site_label
_atom_site_fract_x
_atom_site_fract_y
_atom_site_fract_z
_atom_site_occupancy
Tb1 0.000 0.000 0.000 1
Zn1 0.000 0.000 0.500 1
Pt1 0.250 0.250 0.250 1
# magnetic moment	0.001	μB/atom
# crystal system	cubic
# ΔH_f (0 K)	-231	kJ/mol of formula units

Entry 3:
# PBE-GGA TbZn2Pt3, relaxed
data_TbZn2Pt3
_cell_length_a 4.4103
_cell_length_b 4.4103
_cell_length_c 12.3284
_cell_angle_alpha 90.00
_cell_angle_beta 90.00
_cell_angle_gamma 120.00
_symmetry_space_group_name_H-M 'P 63/m m c'
_symmetry_Int_Tables_number 194
_symmetry_space_group_name_Hall '-P 6c 2c'
loop_
_atom_site_label
_atom_site_fract_x
_atom_site_fract_y
_atom_site_fract_z
_atom_site_occupancy
Tb1 0.0000 0.0000 0.2500 1
Zn1 0.3333 0.6667 0.0825 1
Pt1 0.0000 0.0000 0.0000 1
Pt2 0.3333 0.6667 0.6297 1
# magnetic moment	0.000	μB/atom
# crystal system	hexagonal
# ΔH_f (0 K)	-479	kJ/mol of formula units

Q: The lowest ΔH_f (0 K) belongs to which entry?
A: Tb3YPt4

Q: Look up the ΔH_f (0 K) of the third one.
A: -479 kJ/mol of formula units

Q: magnetic moment of number 2 (TbZnPt)?
A: 0.001 μB/atom

Q: Among the records above, which one has the lowest ΔH_f (0 K)?
A: Tb3YPt4